No. 1
# PBE-GGA LiEr3Cu2, optimized geometry
# Density of states at the Fermi level (states/eV/atom): 0.552
# ΔE_f (eV per atom): -0.1472
data_LiEr3Cu2
_chemical_formula_sum 'Li1 Er3 Cu2'
_symmetry_space_group_name_H-M 'P 1'
_symmetry_Int_Tables_number 1
_cell_length_a 3.4821
_cell_length_b 3.4821
_cell_length_c 10.6661
_cell_angle_alpha 90.00
_cell_angle_beta 90.00
_cell_angle_gamma 90.00
loop_
_symmetry_equiv_pos_as_xyz
'x,y,z'
loop_
_atom_site_label
_atom_site_fract_x
_atom_site_fract_y
_atom_site_fract_z
Li1 0.0000 0.0000 0.0000
Er1 0.5000 0.5000 0.1847
Er2 0.5000 0.5000 0.5000
Er3 0.5000 0.5000 0.8153
Cu1 0.0000 0.0000 0.3346
Cu2 0.0000 0.0000 0.6654

=====

No. 2
# PBE-GGA LiErCu, optimized geometry
# Energy above the lowest structure with this stoichiometry (eV/atom): 0.0411
# Density of states at the Fermi level (states/eV/atom): 0.570
# ΔE_f (eV per atom): -0.0208
data_LiErCu
_chemical_formula_sum 'Li1 Er1 Cu1'
_symmetry_space_group_name_H-M 'P 1'
_symmetry_Int_Tables_number 1
_cell_length_a 4.4315
_cell_length_b 4.4315
_cell_length_c 3.3946
_cell_angle_alpha 90.00
_cell_angle_beta 90.00
_cell_angle_gamma 120.00
loop_
_symmetry_equiv_pos_as_xyz
'x,y,z'
loop_
_atom_site_label
_atom_site_fract_x
_atom_site_fract_y
_atom_site_fract_z
Li1 0.0000 0.0000 0.0000
Er1 0.6667 0.3333 0.5000
Cu1 0.3333 0.6667 0.0000

=====

Number 1: raw total energy -4.113 eV/atom. Number 2: raw total energy -3.545 eV/atom.